# VNiOs | Alexandria via LeMat-Bulk | PBE | optimized geometry
data_VNiOs
_symmetry_space_group_name_H-M 'P 63/m m c'
_symmetry_Int_Tables_number 194
_symmetry_space_group_name_Hall '-P 6c 2c'
_cell_length_a 4.1182
_cell_length_b 4.1182
_cell_length_c 5.2026
_cell_angle_alpha 90.00
_cell_angle_beta 90.00
_cell_angle_gamma 120.00
loop_
_atom_site_label
_atom_site_type_symbol
_atom_site_fract_x
_atom_site_fract_y
_atom_site_fract_z
V1 V 0.3333 0.6667 0.2500
Ni1 Ni 0.3333 0.6667 0.7500
Os1 Os 0.0000 0.0000 0.0000
# Distance to the lowest polymorph of the same formula (kcal/mol of atoms): 0.00
# VASP energy (eV for the cell shown): -53.7
# Formation energy from the elements (eV per formula unit): -0.710

---

# V2NiOs | Alexandria via LeMat-Bulk | PBE | optimized geometry
data_V2NiOs
_symmetry_space_group_name_H-M 'P 4/m m m'
_symmetry_Int_Tables_number 123
_symmetry_space_group_name_Hall '-P 4 2'
_cell_length_a 3.807
_cell_length_b 3.807
_cell_length_c 3.580
_cell_angle_alpha 90.00
_cell_angle_beta 90.00
_cell_angle_gamma 90.00
loop_
_atom_site_label
_atom_site_type_symbol
_atom_site_fract_x
_atom_site_fract_y
_atom_site_fract_z
V1 V 0.000 0.500 0.000
Ni1 Ni 0.000 0.000 0.500
Os1 Os 0.500 0.500 0.500
# VASP energy (eV for the cell shown): -36.0
# Formation energy from the elements (eV per formula unit): -0.753

---

# VNiOs2 | Alexandria via LeMat-Bulk | PBE | optimized geometry
data_VNiOs2
_symmetry_space_group_name_H-M 'P 4/m m m'
_symmetry_Int_Tables_number 123
_symmetry_space_group_name_Hall '-P 4 2'
_cell_length_a 3.805
_cell_length_b 3.805
_cell_length_c 3.641
_cell_angle_alpha 90.00
_cell_angle_beta 90.00
_cell_angle_gamma 90.00
loop_
_atom_site_label
_atom_site_type_symbol
_atom_site_fract_x
_atom_site_fract_y
_atom_site_fract_z
V1 V 0.000 0.000 0.000
Ni1 Ni 0.500 0.500 0.000
Os1 Os 0.000 0.500 0.500
# VASP energy (eV for the cell shown): -37.9
# Formation energy from the elements (eV per formula unit): -0.536

---

# VNi2Os | Alexandria via LeMat-Bulk | PBE | optimized geometry
data_VNi2Os
_symmetry_space_group_name_H-M 'P -6 m 2'
_symmetry_Int_Tables_number 187
_symmetry_space_group_name_Hall 'P -6 2'
_cell_length_a 4.1853
_cell_length_b 4.1853
_cell_length_c 4.4002
_cell_angle_alpha 90.00
_cell_angle_beta 90.00
_cell_angle_gamma 120.00
loop_
_atom_site_label
_atom_site_type_symbol
_atom_site_fract_x
_atom_site_fract_y
_atom_site_fract_z
V1 V 0.0000 0.0000 0.0000
Ni1 Ni 0.0000 0.0000 0.5000
Ni2 Ni 0.3333 0.6667 0.5000
Os1 Os 0.6667 0.3333 0.5000
# Distance to the lowest polymorph of the same formula (kcal/mol of atoms): 25.08
# VASP energy (eV for the cell shown): -28.2
# Formation energy from the elements (eV per formula unit): 3.719

---

# VNiOs | Alexandria via LeMat-Bulk | PBE | optimized geometry
data_VNiOs
_symmetry_space_group_name_H-M 'C 1 2/m 1'
_symmetry_Int_Tables_number 12
_cell_length_a 5.125
_cell_length_b 5.097
_cell_length_c 6.150
_cell_angle_alpha 90.00
_cell_angle_beta 99.65
_cell_angle_gamma 90.00
loop_
_symmetry_equiv_pos_as_xyz
'x,y,z'
'-x,-y,-z'
'-x,y,-z'
'x,-y,z'
'x+1/2,y+1/2,z'
'-x+1/2,-y+1/2,-z'
'-x+1/2,y+1/2,-z'
'x+1/2,-y+1/2,z'
loop_
_atom_site_label
_atom_site_type_symbol
_atom_site_fract_x
_atom_site_fract_y
_atom_site_fract_z
V1 V 0.190 0.000 0.194
Ni1 Ni 0.000 0.251 0.500
Os1 Os 0.194 0.500 0.186
# Distance to the lowest polymorph of the same formula (kcal/mol of atoms): 6.43
# VASP energy (eV for the cell shown): -104.0
# Formation energy from the elements (eV per formula unit): 0.127

---

# VNi2Os | Alexandria via LeMat-Bulk | PBE | optimized geometry
data_VNi2Os
_symmetry_space_group_name_H-M 'P 4/m m m'
_symmetry_Int_Tables_number 123
_symmetry_space_group_name_Hall '-P 4 2'
_cell_length_a 3.593
_cell_length_b 3.593
_cell_length_c 3.793
_cell_angle_alpha 90.00
_cell_angle_beta 90.00
_cell_angle_gamma 90.00
loop_
_atom_site_label
_atom_site_type_symbol
_atom_site_fract_x
_atom_site_fract_y
_atom_site_fract_z
V1 V 0.000 0.000 0.000
Ni1 Ni 0.000 0.500 0.500
Os1 Os 0.500 0.500 0.000
# Distance to the lowest polymorph of the same formula (kcal/mol of atoms): 0.00
# VASP energy (eV for the cell shown): -32.5
# Formation energy from the elements (eV per formula unit): -0.632

---

# V2ZnNiOs | Alexandria via LeMat-Bulk | PBE | optimized geometry
data_V2ZnNiOs
_symmetry_space_group_name_H-M 'P 4/m m m'
_symmetry_Int_Tables_number 123
_symmetry_space_group_name_Hall '-P 4 2'
_cell_length_a 4.356
_cell_length_b 4.356
_cell_length_c 4.460
_cell_angle_alpha 90.00
_cell_angle_beta 90.00
_cell_angle_gamma 90.00
loop_
_atom_site_label
_atom_site_type_symbol
_atom_site_fract_x
_atom_site_fract_y
_atom_site_fract_z
V1 V 0.000 0.500 0.000
Zn1 Zn 0.000 0.000 0.000
Ni1 Ni 0.500 0.500 0.500
Os1 Os 0.000 0.000 0.500
# VASP energy (eV for the cell shown): -28.2
# Formation energy from the elements (eV per formula unit): 8.274

---

# ZrVNiOs | Alexandria via LeMat-Bulk | PBE | optimized geometry
data_ZrVNiOs
_symmetry_space_group_name_H-M 'F -4 3 m'
_symmetry_Int_Tables_number 216
_symmetry_space_group_name_Hall 'F -4 2 3'
_cell_length_a 6.261
_cell_length_b 6.261
_cell_length_c 6.261
_cell_angle_alpha 90.00
_cell_angle_beta 90.00
_cell_angle_gamma 90.00
loop_
_atom_site_label
_atom_site_type_symbol
_atom_site_fract_x
_atom_site_fract_y
_atom_site_fract_z
Zr1 Zr 0.000 0.000 0.000
V1 V 0.000 0.000 0.500
Ni1 Ni 0.250 0.250 0.250
Os1 Os 0.250 0.250 0.750
# VASP energy (eV for the cell shown): -141.8
# Formation energy from the elements (eV per formula unit): -0.764